A geometry-optimized Be2InTe structure. Source: Alexandria, functional GGA-PBE.

Cell: 4.5994 3.8237 4.8944 Å, 90.00 91.83 90.00°
Element x y z (fractional)
Be 0.0000 0.0000 0.0000
Be 0.1972 0.5000 0.1621
In 0.1786 0.0000 0.5216
Te 0.6745 0.5000 0.9280

Computed properties:
The volume is 86.0 Å³/cell. For the uncorrected formation energy, the calculation gives 7.078 kcal/mol of atoms.